DFT (PBE-GGA) results for an optimized crystal structure of CsPb3S.

abc: 5.7592 5.7592 5.7592
angles: 90.00 90.00 90.00
Fractional positions:
Pb 0.0000 0.5000 0.0000
Pb 0.0000 0.0000 0.5000
Cs 0.5000 0.5000 0.5000
S 0.0000 0.0000 0.0000
Pb 0.5000 0.0000 0.0000

Properties
Energy ... -16.02 eV for the cell shown
Space-group type ... Pm-3m, No. 221
Calculated density ... 6.84 g/cm3
Energy relative to the elements, uncorrected ... 18 meV per atom
D(E_F) ... 0.679 states/eV/atom
Distance to the lowest polymorph of the same formula ... 0 meV per atom



DFT (PBE-GGA) results for an optimized crystal structure of K5TiTe4.

abc: 8.2883 10.8022 10.3839
angles: 90.00 90.00 90.00
Site moments in Bohr magnetons follow the coordinates.
Fractional positions:
K 0.7386 0.1961 0.2415  0.00
K 0.2614 0.3039 0.2585  0.00
Te 0.9702 0.2911 0.5000  -0.02
K 0.7386 0.8039 0.2415  0.00
K 0.7386 0.1961 0.7585  0.00
K 0.2614 0.6961 0.2585  0.00
Te 0.0298 0.7911 0.0000  -0.02
Ti 0.7844 0.5000 0.5000  0.92
Te 0.0298 0.2089 0.0000  -0.02
Te 0.5993 0.5000 0.7179  -0.02
Te 0.4007 0.0000 0.2179  -0.02
K 0.1627 0.0000 0.5000  0.00
Te 0.4007 0.0000 0.7821  -0.02
K 0.2614 0.3039 0.7415  0.00
K 0.2614 0.6961 0.7415  0.00
K 0.8373 0.5000 0.0000  0.00
Te 0.9702 0.7089 0.5000  -0.02
Te 0.5993 0.5000 0.2821  -0.02
K 0.7386 0.8039 0.7585  0.00
Ti 0.2156 0.0000 0.0000  0.92

Properties
Energy ... -70.00 eV for the cell shown
Space-group type ... Pmmn, No. 59
Calculated density ... 2.69 g/cm3
Energy relative to the elements, uncorrected ... -905 meV per atom
D(E_F) ... 0.674 states/eV/atom



DFT (PBE-GGA) results for an optimized crystal structure of CaMg2Cd2Ag2.

abc: 4.8500 4.8500 8.3454
angles: 73.11 73.11 60.00
Fractional positions:
Cd 0.5811 0.5811 0.2568
Cd 0.4189 0.4189 0.7432
Ca 0.0000 0.0000 0.0000
Mg 0.8632 0.8632 0.4105
Mg 0.1368 0.1368 0.5895
Ag 0.7452 0.7452 0.7644
Ag 0.2548 0.2548 0.2356

Properties
Energy ... -14.11 eV for the cell shown
Space-group type ... R-3m, No. 166
Calculated density ... 5.49 g/cm3
D(E_F) ... 0.292 states/eV/atom



DFT (PBE-GGA) results for an optimized crystal structure of Ce8OsPt5.

abc: 7.6388 7.6388 7.6388
angles: 109.82 108.77 109.82
Site moments in Bohr magnetons follow the coordinates.
Fractional positions:
Ce 0.0093 0.1354 0.7482  0.46
Pt 0.3754 0.1280 0.0086  -0.01
Ce 0.1262 0.7389 0.9907  0.46
Ce 0.2518 0.2611 0.3873  0.46
Pt 0.9914 0.3668 0.1194  -0.01
Os 0.2500 0.5000 0.7500  -0.08
Ce 0.6127 0.8646 0.8738  0.46
Ce 0.6175 0.3737 0.8748  0.58
Ce 0.7562 0.2573 0.3825  0.58
Ce 0.1252 0.7427 0.4989  0.58
Pt 0.8806 0.8720 0.2474  -0.01
Pt 0.7526 0.6332 0.6246  -0.01
Ce 0.5011 0.6263 0.2438  0.58
Pt 0.5000 0.0000 0.5000  -0.01

Properties
Energy ... -100.25 eV for the cell shown
Space-group type ... I-4, No. 82
Calculated density ... 11.07 g/cm3
D(E_F) ... 2.852 states/eV/atom



DFT (PBE-GGA) results for an optimized crystal structure of RuAuCl2.

abc: 4.7498 4.7498 4.7498
angles: 60.00 60.00 60.00
Site moments in Bohr magnetons follow the coordinates.
Fractional positions:
Cl 0.0000 0.0000 0.0000  0.14
Au 0.5000 0.5000 0.5000  0.15
Cl 0.2500 0.2500 0.2500  0.11
Ru 0.7500 0.7500 0.7500  2.65

Properties
Energy ... -13.04 eV for the cell shown
Space-group type ... F-43m, No. 216
Calculated density ... 8.09 g/cm3
Energy relative to the elements, uncorrected ... 802 meV per atom
D(E_F) ... 1.094 states/eV/atom
Distance to the lowest polymorph of the same formula ... 757 meV per atom



DFT (PBE-GGA) results for an optimized crystal structure of BaY2Pt9.

abc: 5.5253 5.5253 9.3638
angles: 72.84 72.84 60.00
Fractional positions:
Y 0.1408 0.1408 0.5776
Y 0.8592 0.8592 0.4224
Pt 0.0815 0.5889 0.7407
Pt 0.9185 0.4111 0.2593
Pt 0.6680 0.6680 0.9959
Pt 0.4111 0.4111 0.2593
Pt 0.3320 0.3320 0.0041
Ba 0.0000 0.0000 0.0000
Pt 0.5889 0.5889 0.7407
Pt 0.5889 0.0815 0.7407
Pt 0.4111 0.9185 0.2593
Pt 0.5000 0.5000 0.5000

Properties
Energy ... -79.24 eV for the cell shown
Space-group type ... R-3m, No. 166
Calculated density ... 14.77 g/cm3
D(E_F) ... 0.693 states/eV/atom



DFT (PBE-GGA) results for an optimized crystal structure of GdGa2.

abc: 5.5458 5.5458 5.5458
angles: 60.00 60.00 60.00
Site moments in Bohr magnetons follow the coordinates.
Fractional positions:
Gd 0.0000 0.0000 0.0000  7.16
Ga 0.6250 0.6250 0.1250  -0.02
Ga 0.6250 0.1250 0.6250  -0.02
Gd 0.2500 0.2500 0.2500  7.16
Ga 0.6250 0.6250 0.6250  -0.02
Ga 0.1250 0.6250 0.6250  -0.02

Properties
Energy ... -43.73 eV for the cell shown
Space-group type ... Fd-3m, No. 227
Calculated density ... 8.17 g/cm3
D(E_F) ... 0.524 states/eV/atom



DFT (PBE-GGA) results for an optimized crystal structure of YNiBRh2.

abc: 4.2174 4.2174 4.0114
angles: 90.00 90.00 90.00
Fractional positions:
Rh 0.0000 0.5000 0.0000
Y 0.5000 0.5000 0.5000
B 0.0000 0.0000 0.0000
Ni 0.0000 0.0000 0.5000
Rh 0.5000 0.0000 0.0000

Properties
Energy ... -37.19 eV for the cell shown
Space-group type ... P4/mmm, No. 123
Calculated density ... 8.48 g/cm3
D(E_F) ... 0.089 states/eV/atom



DFT (PBE-GGA) results for an optimized crystal structure of La2MnHg.

abc: 6.4346 6.4346 5.2293
angles: 66.20 66.20 33.88
Site moments in Bohr magnetons follow the coordinates.
Fractional positions:
La 0.7775 0.7775 0.7218  -0.11
Hg 0.2128 0.2128 0.2859  0.00
Mn 0.5292 0.5292 0.4724  3.71
La 0.9806 0.9806 0.0199  -0.19

Properties
Energy ... -19.49 eV for the cell shown
Space-group type ... Cm, No. 8
Calculated density ... 8.09 g/cm3
D(E_F) ... 1.284 states/eV/atom



DFT (PBE-GGA) results for an optimized crystal structure of Ca2NdYS4.

abc: 3.9842 6.9044 7.0171
angles: 109.11 90.00 90.00
Fractional positions:
Ca 0.0000 0.5000 0.5000
Y 0.0000 0.0000 0.0000
S 0.5000 0.2433 0.2485
S 0.0000 0.2421 0.7465
Nd 0.5000 0.5000 0.0000
Ca 0.5000 0.0000 0.5000
S 0.5000 0.7567 0.7515
S 0.0000 0.7579 0.2535

Properties
Energy ... -48.18 eV for the cell shown
Space-group type ... P2/m, No. 10
Calculated density ... 4.02 g/cm3
Energy relative to the elements, uncorrected ... -2054 meV per atom
D(E_F) ... 0.422 states/eV/atom